# 1
# Nd3ErBi2 | Alexandria via LeMat-Bulk | PBE-GGA | relaxed
data_Nd3ErBi2
_chemical_formula_sum 'Nd3 Er1 Bi2'
_cell_length_a 4.640
_cell_length_b 4.640
_cell_length_c 8.943
_cell_angle_alpha 90.00
_cell_angle_beta 90.00
_cell_angle_gamma 90.00
_symmetry_space_group_name_H-M 'P -4 m 2'
_symmetry_Int_Tables_number 115
loop_
_symmetry_equiv_pos_as_xyz
'x,y,z'
'y,-x,-z'
'-x,-y,z'
'-y,x,-z'
'-x,y,z'
'-y,-x,-z'
'x,-y,z'
'y,x,-z'
loop_
_atom_site_label
_atom_site_type_symbol
_atom_site_fract_x
_atom_site_fract_y
_atom_site_fract_z
Nd1 Nd 0.000 0.000 0.000
Nd2 Nd 0.000 0.500 0.649
Er1 Er 0.500 0.500 0.000
Bi1 Bi 0.000 0.500 0.278
# ΔE_f ... -0.645 eV/atom
# VASP energy ... -5.08 eV/atom
# Total magnetic moment ... 0.00 μB/f.u.

# 2
# Ca2PbI | Alexandria via LeMat-Bulk | PBE-GGA | relaxed
data_Ca2PbI
_chemical_formula_sum 'Ca2 Pb1 I1'
_cell_length_a 3.893
_cell_length_b 3.893
_cell_length_c 8.654
_cell_angle_alpha 90.00
_cell_angle_beta 90.00
_cell_angle_gamma 90.00
_symmetry_space_group_name_H-M 'P 4/m m m'
_symmetry_Int_Tables_number 123
_symmetry_space_group_name_Hall '-P 4 2'
loop_
_atom_site_label
_atom_site_type_symbol
_atom_site_fract_x
_atom_site_fract_y
_atom_site_fract_z
Ca1 Ca 0.000 0.000 0.224
Pb1 Pb 0.500 0.500 0.000
I1 I 0.500 0.500 0.500
# VASP energy ... -3.09 eV/atom
# ΔE_f (raw) ... -298 kJ/mol of formula units
# Total magnetic moment ... 0.00 μB/f.u.

# 3
# PuAgSe2 | Alexandria via LeMat-Bulk | PBE-GGA | relaxed
data_PuAgSe2
_chemical_formula_sum 'Pu3 Ag3 Se6'
_cell_length_a 4.2644
_cell_length_b 4.2644
_cell_length_c 18.4948
_cell_angle_alpha 90.00
_cell_angle_beta 90.00
_cell_angle_gamma 120.00
_symmetry_space_group_name_H-M 'R -3 m'
_symmetry_Int_Tables_number 166
_symmetry_space_group_name_Hall '-R 3 2"'
loop_
_atom_site_label
_atom_site_type_symbol
_atom_site_fract_x
_atom_site_fract_y
_atom_site_fract_z
Pu1 Pu 0.0000 0.0000 0.0000
Ag1 Ag 0.0000 0.0000 0.5000
Se1 Se 0.0000 0.0000 0.2505
# VASP energy ... -6.96 eV/atom
# ΔE_f (raw) ... -356 kJ/mol of formula units
# Total magnetic moment ... 5.00 μB/f.u.

# 4
# ZrTaW4 | Alexandria via LeMat-Bulk | PBE-GGA | relaxed
data_ZrTaW4
_chemical_formula_sum 'Zr4 Ta4 W16'
_cell_length_a 7.575
_cell_length_b 7.575
_cell_length_c 7.575
_cell_angle_alpha 90.00
_cell_angle_beta 90.00
_cell_angle_gamma 90.00
_symmetry_space_group_name_H-M 'F -4 3 m'
_symmetry_Int_Tables_number 216
_symmetry_space_group_name_Hall 'F -4 2 3'
loop_
_atom_site_label
_atom_site_type_symbol
_atom_site_fract_x
_atom_site_fract_y
_atom_site_fract_z
Zr1 Zr 0.000 0.000 0.000
Ta1 Ta 0.250 0.250 0.750
W1 W 0.125 0.125 0.375
# ΔE_f ... -0.056 eV/atom
# VASP energy ... -12.09 eV/atom
# Total magnetic moment ... 0.00 μB/f.u.

# 5
# YAl4Ag6 | Alexandria via LeMat-Bulk | PBE-GGA | relaxed
data_YAl4Ag6
_chemical_formula_sum 'Y1 Al4 Ag6'
_cell_length_a 7.4276
_cell_length_b 7.4276
_cell_length_c 4.2885
_cell_angle_alpha 90.00
_cell_angle_beta 90.00
_cell_angle_gamma 120.00
_symmetry_space_group_name_H-M 'P -6 m 2'
_symmetry_Int_Tables_number 187
_symmetry_space_group_name_Hall 'P -6 2'
loop_
_atom_site_label
_atom_site_type_symbol
_atom_site_fract_x
_atom_site_fract_y
_atom_site_fract_z
Y1 Y 0.0000 0.0000 0.0000
Al1 Al 0.3333 0.6667 0.0000
Al2 Al 0.3979 0.1990 0.5000
Ag1 Ag 0.2011 0.4023 0.5000
Ag2 Ag 0.5355 0.0710 0.0000
# ΔE_f ... -0.171 eV/atom
# VASP energy ... -3.67 eV/atom
# Total magnetic moment ... 0.00 μB/f.u.

# 6
# LiCoTc2 | Alexandria via LeMat-Bulk | PBE-GGA | relaxed
data_LiCoTc2
_chemical_formula_sum 'Li1 Co1 Tc2'
_cell_length_a 3.026
_cell_length_b 3.026
_cell_length_c 5.584
_cell_angle_alpha 90.00
_cell_angle_beta 90.00
_cell_angle_gamma 90.00
_symmetry_space_group_name_H-M 'P 4 m m'
_symmetry_Int_Tables_number 99
loop_
_symmetry_equiv_pos_as_xyz
'x,y,z'
'-y,x,z'
'-x,-y,z'
'y,-x,z'
'-x,y,z'
'y,x,z'
'x,-y,z'
'-y,-x,z'
loop_
_atom_site_label
_atom_site_type_symbol
_atom_site_fract_x
_atom_site_fract_y
_atom_site_fract_z
Li1 Li 0.000 0.000 0.000
Co1 Co 0.500 0.500 0.793
Tc1 Tc 0.000 0.000 0.516
Tc2 Tc 0.500 0.500 0.259
# ΔE_f ... 0.232 eV/atom
# VASP energy ... -7.21 eV/atom
# Total magnetic moment ... 1.15 μB/f.u.

# 7
# EuAgO2 | Alexandria via LeMat-Bulk | PBE-GGA | relaxed
data_EuAgO2
_chemical_formula_sum 'Eu4 Ag4 O8'
_cell_length_a 7.100
_cell_length_b 9.500
_cell_length_c 3.540
_cell_angle_alpha 90.00
_cell_angle_beta 90.02
_cell_angle_gamma 90.00
_symmetry_space_group_name_H-M 'C 1 2/m 1'
_symmetry_Int_Tables_number 12
loop_
_symmetry_equiv_pos_as_xyz
'x,y,z'
'-x,-y,-z'
'-x,y,-z'
'x,-y,z'
'x+1/2,y+1/2,z'
'-x+1/2,-y+1/2,-z'
'-x+1/2,y+1/2,-z'
'x+1/2,-y+1/2,z'
loop_
_atom_site_label
_atom_site_type_symbol
_atom_site_fract_x
_atom_site_fract_y
_atom_site_fract_z
Eu1 Eu 0.250 0.250 0.000
Ag1 Ag 0.000 0.000 0.500
Ag2 Ag 0.000 0.500 0.500
O1 O 0.000 0.249 0.500
O2 O 0.249 0.500 0.086
# VASP energy ... -7.38 eV/atom
# ΔE_f (raw) ... -626 kJ/mol of formula units
# Total magnetic moment ... 6.17 μB/f.u.

# 8
# CuAsHPb2 | Alexandria via LeMat-Bulk | PBE-GGA | relaxed
data_CuAsHPb2
_chemical_formula_sum 'Cu1 As1 H1 Pb2'
_cell_length_a 5.794
_cell_length_b 5.794
_cell_length_c 3.365
_cell_angle_alpha 90.00
_cell_angle_beta 90.00
_cell_angle_gamma 90.00
_symmetry_space_group_name_H-M 'P 4/m m m'
_symmetry_Int_Tables_number 123
_symmetry_space_group_name_Hall '-P 4 2'
loop_
_atom_site_label
_atom_site_type_symbol
_atom_site_fract_x
_atom_site_fract_y
_atom_site_fract_z
Cu1 Cu 0.000 0.000 0.000
As1 As 0.500 0.500 0.500
H1 H 0.500 0.500 0.000
Pb1 Pb 0.000 0.500 0.500
# VASP energy ... -3.47 eV/atom
# Total magnetic moment ... 0.00 μB/f.u.